A relaxed SrAcAg crystal. Source: the Alexandria database, functional PBE.

Structure (CIF):
```
data_SrAcAg
_chemical_formula_sum 'Sr2 Ac2 Ag2'
_cell_length_a 3.978
_cell_length_b 3.978
_cell_length_c 14.177
_cell_angle_alpha 90.00
_cell_angle_beta 90.00
_cell_angle_gamma 90.00
_space_group_name_H-M_alt 'I 4 m m'
_space_group_IT_number 107
_space_group_name_Hall 'I 4 -2'
loop_
_atom_site_label
_atom_site_fract_x
_atom_site_fract_y
_atom_site_fract_z
Sr1 0.000 0.000 0.000
Ac1 0.000 0.000 0.271
Ag1 0.000 0.000 0.641
```

Summary:
uncorrected energy	-3.0212	eV per atom
energy relative to the lowest polymorph listed for this composition	0.015	eV/atom

A relaxed PaCo3SiH crystal. Source: the Alexandria database, functional PBE.

Structure (CIF):
```
data_PaCo3SiH
_chemical_formula_sum 'Pa4 Co12 Si4 H4'
_cell_length_a 5.290
_cell_length_b 10.339
_cell_length_c 5.321
_cell_angle_alpha 90.00
_cell_angle_beta 90.00
_cell_angle_gamma 90.00
_space_group_name_H-M_alt 'C m c m'
_space_group_IT_number 63
_space_group_name_Hall '-C 2c 2'
loop_
_atom_site_label
_atom_site_fract_x
_atom_site_fract_y
_atom_site_fract_z
Pa1 0.000 0.238 0.250
Co1 0.000 0.330 0.750
Co2 0.235 0.500 0.000
Si1 0.000 0.113 0.750
H1 0.000 0.497 0.250
```

Summary:
uncorrected energy	-7.0593	eV per atom

A relaxed CdTeAu2 crystal. Source: the Alexandria database, functional PBE.

Structure (CIF):
```
data_CdTeAu2
_chemical_formula_sum 'Cd2 Te2 Au4'
_cell_length_a 8.020
_cell_length_b 8.050
_cell_length_c 3.017
_cell_angle_alpha 90.00
_cell_angle_beta 92.87
_cell_angle_gamma 90.00
_space_group_name_H-M_alt 'C 1 2/m 1'
_space_group_IT_number 12
_space_group_name_Hall '-C 2y'
loop_
_atom_site_label
_atom_site_fract_x
_atom_site_fract_y
_atom_site_fract_z
Cd1 0.000 0.000 0.000
Te1 0.000 0.500 0.000
Au1 0.250 0.250 0.000
```

Summary:
formation energy (no corrections)	39.6	meV per atom
uncorrected energy	-2.6133	eV per atom
energy relative to the lowest polymorph listed for this composition	0.119	eV/atom

A relaxed Sm2ZnPd6 crystal. Source: the Alexandria database, functional PBE.

Structure (CIF):
```
data_Sm2ZnPd6
_chemical_formula_sum 'Sm2 Zn1 Pd6'
_cell_length_a 5.7855
_cell_length_b 5.7855
_cell_length_c 5.7630
_cell_angle_alpha 90.00
_cell_angle_beta 90.00
_cell_angle_gamma 120.00
_space_group_name_H-M_alt 'P -3 m 1'
_space_group_IT_number 164
_space_group_name_Hall '-P 3 2"'
loop_
_atom_site_label
_atom_site_fract_x
_atom_site_fract_y
_atom_site_fract_z
Sm1 0.3333 0.6667 0.1800
Zn1 0.0000 0.0000 0.0000
Pd1 0.1743 0.3485 0.6894
```

Summary:
uncorrected energy	-5.3949	eV per atom

A relaxed HfSnC2Cl crystal. Source: the Alexandria database, functional PBE.

Structure (CIF):
```
data_HfSnC2Cl
_chemical_formula_sum 'Hf1 Sn1 C2 Cl1'
_cell_length_a 4.214
_cell_length_b 4.214
_cell_length_c 4.923
_cell_angle_alpha 90.00
_cell_angle_beta 90.00
_cell_angle_gamma 90.00
_space_group_name_H-M_alt 'P 4/m m m'
_space_group_IT_number 123
_space_group_name_Hall '-P 4 2'
loop_
_atom_site_label
_atom_site_fract_x
_atom_site_fract_y
_atom_site_fract_z
Hf1 0.000 0.000 0.000
Sn1 0.500 0.500 0.500
C1 0.000 0.500 0.500
Cl1 0.500 0.500 0.000
```

Summary:
formation energy (no corrections)	1813.7	meV per atom
uncorrected energy	-5.0364	eV per atom

A relaxed Sm4Ho3Rh4 crystal. Source: the Alexandria database, functional PBE.

Structure (CIF):
```
data_Sm4Ho3Rh4
_chemical_formula_sum 'Sm8 Ho6 Rh8'
_cell_length_a 3.671
_cell_length_b 8.984
_cell_length_c 16.284
_cell_angle_alpha 90.00
_cell_angle_beta 90.00
_cell_angle_gamma 90.00
_space_group_name_H-M_alt 'I m m m'
_space_group_IT_number 71
_space_group_name_Hall '-I 2 2'
loop_
_atom_site_label
_atom_site_fract_x
_atom_site_fract_y
_atom_site_fract_z
Sm1 0.000 0.186 0.164
Ho1 0.000 0.000 0.400
Ho2 0.000 0.500 0.500
Rh1 0.000 0.284 0.000
Rh2 0.000 0.500 0.240
```

Summary:
uncorrected energy	-6.2015	eV per atom